The following is a DFT calculation (GGA-PBE) of crystalline PSeO2 at its relaxed geometry.

a b c (Å): 6.5797 6.5797 6.5797
angles (deg): 27.50 27.50 27.50
Element x y z (fractional)
P  0.5000  0.5000  0.5000
O  0.8896  0.8896  0.8896
O  0.1104  0.1104  0.1104
Se  0.0000  0.0000  0.0000

Properties
Size of the total moment = 0.00 μB per formula unit
E above lowest polymorph = 282 meV per atom
Energy relative to the elements, uncorrected = -0.1434 eV/atom